Entry 1:
Here is a relaxed structure of Ag2AsCl from Alexandria via LeMat-Bulk. Energies are from GGA-PBE.

Cell: 4.3149 4.3149 8.4926 Å, 90.00 90.00 90.00°
Space group I4/mmm (No. 139)
Inequivalent atoms, fractional coordinates:
Ag 0.0000 0.5000 0.2500
As 0.0000 0.0000 0.0000
Cl 0.0000 0.0000 0.5000

Values from the calculation:
DOS(E_F) = 2.06 states/eV/f.u.
formation energy (no corrections) = 319 meV per atom
E above lowest polymorph = 385 meV per atom
total energy = -2.731 eV per atom

***

Entry 2:
Here is a relaxed structure of Ag2AsCl from Alexandria via LeMat-Bulk. Energies are from GGA-PBE.

Cell: 7.1579 7.1812 3.0304 Å, 90.00 90.00 90.00°
Space group Cmmm (No. 65)
Inequivalent atoms, fractional coordinates:
Ag 0.2500 0.2500 0.0000
As 0.0000 0.0000 0.5000
Cl 0.0000 0.5000 0.5000

Values from the calculation:
DOS(E_F) = 2.14 states/eV/f.u.
formation energy (no corrections) = 128 meV per atom
E above lowest polymorph = 194 meV per atom
total energy = -2.921 eV per atom

***

Entry 3:
Here is a relaxed structure of AgAs2Cl from Alexandria via LeMat-Bulk. Energies are from GGA-PBE.

Cell: 3.5474 3.5474 6.9820 Å, 90.00 90.00 90.00°
Space group P4mm (No. 99)
Inequivalent atoms, fractional coordinates:
Ag 0.0000 0.0000 0.0000
As 0.0000 0.0000 0.3960
As 0.5000 0.5000 0.2666
Cl 0.5000 0.5000 0.8041

Values from the calculation:
DOS(E_F) = 1.77 states/eV/f.u.
formation energy (no corrections) = 21 meV per atom
E above lowest polymorph = 187 meV per atom
total energy = -3.478 eV per atom

***

Entry 4:
Here is a relaxed structure of AgAs2Cl8 from Alexandria via LeMat-Bulk. Energies are from GGA-PBE.

Cell: 10.5040 10.4865 6.8671 Å, 90.00 93.47 90.00°
Space group C2/m (No. 12)
Inequivalent atoms, fractional coordinates:
Ag 0.0000 0.0000 0.0000
As 0.2278 0.5000 0.5786
Cl 0.0637 0.5000 0.7726
Cl 0.1585 0.1576 0.2796
Cl 0.1683 0.0000 0.7804

Values from the calculation:
DOS(E_F) = 4.60 states/eV/f.u.
formation energy (no corrections) = -531 meV per atom
total energy = -2.979 eV per atom

***

Entry 5:
Here is a relaxed structure of Ag5AsCl12 from Alexandria via LeMat-Bulk. Energies are from GGA-PBE.

Cell: 6.5127 12.0509 12.5864 Å, 90.00 101.14 90.00°
Space group C2/m (No. 12)
Inequivalent atoms, fractional coordinates:
Ag 0.0000 0.0000 0.0000
Ag 0.0000 0.1603 0.5000
Ag 0.0000 0.3333 0.0000
As 0.0000 0.5000 0.5000
Cl 0.1521 0.1668 0.8850
Cl 0.1525 0.5000 0.8853
Cl 0.2138 0.3480 0.6109
Cl 0.2435 0.0000 0.6245

Values from the calculation:
DOS(E_F) = 17.01 states/eV/f.u.
formation energy (no corrections) = -371 meV per atom
total energy = -2.653 eV per atom

***

Entry 6:
Here is a relaxed structure of Ag2AsCl from Alexandria via LeMat-Bulk. Energies are from GGA-PBE.

Cell: 3.5484 5.7711 8.0652 Å, 90.00 90.00 90.00°
Space group Cmmm (No. 65)
Inequivalent atoms, fractional coordinates:
Ag 0.0000 0.0000 0.2477
As 0.0000 0.5000 0.0000
Cl 0.0000 0.5000 0.5000

Values from the calculation:
DOS(E_F) = 1.47 states/eV/f.u.
formation energy (no corrections) = 25 meV per atom
E above lowest polymorph = 91 meV per atom
total energy = -3.024 eV per atom

***

Entry 7:
Here is a relaxed structure of Ag2AsCl from Alexandria via LeMat-Bulk. Energies are from GGA-PBE.

Cell: 3.3140 5.4527 8.9844 Å, 90.00 90.00 90.00°
Space group Immm (No. 71)
Inequivalent atoms, fractional coordinates:
Ag 0.0000 0.0000 0.2388
As 0.0000 0.5000 0.5000
Cl 0.0000 0.5000 0.0000

Values from the calculation:
DOS(E_F) = 1.57 states/eV/f.u.
formation energy (no corrections) = 196 meV per atom
E above lowest polymorph = 262 meV per atom
total energy = -2.854 eV per atom

***

Entry 8:
Here is a relaxed structure of AgAs2Cl from Alexandria via LeMat-Bulk. Energies are from GGA-PBE.

Cell: 5.3822 5.3822 5.7353 Å, 90.00 90.00 90.00°
Space group I4/mmm (No. 139)
Inequivalent atoms, fractional coordinates:
Ag 0.0000 0.0000 0.0000
As 0.0000 0.5000 0.0000
Cl 0.0000 0.0000 0.5000

Values from the calculation:
DOS(E_F) = 1.74 states/eV/f.u.
formation energy (no corrections) = 192 meV per atom
E above lowest polymorph = 358 meV per atom
total energy = -3.307 eV per atom